1.
Entry from the Alexandria database: a relaxed structure of La15Er4Tm (PBE).

VASP energy (eV/atom): -4.825
Symmetry: P4/mmm, No. 123

Unit cell a=5.193 b=5.193 c=25.956 alpha=90.00 beta=90.00 gamma=90.00
Atoms (fractional coordinates):
Er  0.000  0.000  0.800
Er  0.000  0.000  0.400
Er  0.000  0.000  0.200
Er  0.000  0.000  0.600
La  0.000  0.500  0.500
La  0.500  0.500  0.400
La  0.500  0.500  0.000
La  0.500  0.500  0.200
La  0.000  0.500  0.100
La  0.500  0.000  0.300
La  0.500  0.500  0.800
La  0.500  0.000  0.900
La  0.500  0.000  0.700
La  0.500  0.000  0.500
La  0.500  0.000  0.100
La  0.000  0.500  0.700
La  0.000  0.500  0.900
La  0.500  0.500  0.600
La  0.000  0.500  0.300
Tm  0.000  0.000  0.000

2.
Entry from the Alexandria database: a relaxed structure of La3ErTm4 (PBE).

VASP energy (eV/atom): -4.508
Symmetry: Immm, No. 71
Offset from the most stable computed form (meV/atom): 114

Unit cell a=3.491 b=8.941 c=8.941 alpha=82.13 beta=78.76 gamma=78.76
Atoms (fractional coordinates):
La  0.000  0.500  0.500
La  0.245  0.755  0.755
La  0.755  0.245  0.245
Er  0.500  0.000  0.000
Tm  0.365  0.379  0.891
Tm  0.365  0.891  0.379
Tm  0.635  0.109  0.621
Tm  0.635  0.621  0.109